Material: BeIrPt
Method: DFT, SCAN
State: single point on PBEsol structure

a b c (Å): 5.407 5.407 5.407
angles (deg): 90.00 90.00 90.00
Space group F-43m (No. 216)
Inequivalent atoms, fractional coordinates:
1 Be 0.000 0.000 0.000 [4 per cell]
2 Ir 0.250 0.250 0.250 [4 per cell]
3 Pt 0.250 0.250 0.750 [4 per cell]

Properties
- Fermi-level density of states (states/eV/cell) = 8.9
- polymorph energy (0 for the lowest one) (meV/atom) = 124

Material: ScIn3Ga
Method: DFT, SCAN
State: single point on PBEsol structure

a b c (Å): 5.473 5.473 5.473
angles (deg): 90.00 90.00 90.00
Space group Pm-3m (No. 221)
Inequivalent atoms, fractional coordinates:
1 Sc 0.000 0.000 0.000 [1 per cell]
2 In 0.000 0.000 0.500 [3 per cell]
3 Ga 0.500 0.500 0.500 [1 per cell]

Properties
- Fermi-level density of states (states/eV/cell) = 5.1

Number 1: total energy -48.87 eV per atom, formation enthalpy at 0 K -0.3179 eV/atom. Number 2: total energy -25.60 eV per atom, formation enthalpy at 0 K 0.5512 eV/atom.